(1)
Entry from Alexandria: a geometry-optimized CePm2In2Rh5 structure (PBE-GGA).

a = 10.412 Å, b = 10.412 Å, c = 3.763 Å
α = 90.00°, β = 90.00°, γ = 90.00°
Space group P4/mbm (No. 127)
Symmetry-distinct sites (fractional):
Ce1 0.000 0.000 0.000 (multiplicity 2)
Pm1 0.167 0.333 0.000 (multiplicity 4)
In1 0.130 0.630 0.000 (multiplicity 4)
Rh1 0.000 0.500 0.500 (multiplicity 2)
Rh2 0.060 0.803 0.500 (multiplicity 8)

Values from the calculation:
**DFT total energy**: -126.48 eV/cell
**DOS(E_F)**: 0.639 states/eV/atom
**Magnetic moment**: 0.00 μB/cell

=====

(2)
Entry from Alexandria: a geometry-optimized Li2SbMo structure (PBE-GGA).

a = 4.4128 Å, b = 4.4128 Å, c = 8.4962 Å
α = 90.00°, β = 90.00°, γ = 120.00°
Space group P-3m1 (No. 164)
Symmetry-distinct sites (fractional):
Li1 0.0000 0.0000 0.1486 (multiplicity 2)
Li2 0.3333 0.6667 0.4036 (multiplicity 2)
Sb1 0.3333 0.6667 0.7422 (multiplicity 2)
Mo1 0.3333 0.6667 0.0627 (multiplicity 2)

Values from the calculation:
**DFT total energy**: -38.90 eV/cell
**DOS(E_F)**: 0.357 states/eV/atom
**Magnetic moment**: 0.00 μB/cell

=====

(3)
Entry from Alexandria: a geometry-optimized NdEuHo2 structure (PBE-GGA).

a = 8.169 Å, b = 8.169 Å, c = 8.169 Å
α = 90.00°, β = 90.00°, γ = 90.00°
Space group Fm-3m (No. 225)
Symmetry-distinct sites (fractional):
Nd1 0.000 0.000 0.000 (multiplicity 4)
Eu1 0.000 0.000 0.500 (multiplicity 4)
Ho1 0.250 0.250 0.250 (multiplicity 8)

Values from the calculation:
**DFT total energy**: -94.39 eV/cell
**DOS(E_F)**: 1.738 states/eV/atom
**Magnetic moment**: 28.41 μB/cell

=====

(4)
Entry from Alexandria: a geometry-optimized Sb2PbW structure (PBE-GGA).

a = 3.3795 Å, b = 3.3795 Å, c = 30.4964 Å
α = 90.00°, β = 90.00°, γ = 120.00°
Space group R-3m (No. 166, hexagonal axes)
Symmetry-distinct sites (fractional):
Sb1 0.0000 0.0000 0.2321 (multiplicity 6)
Pb1 0.0000 0.0000 0.0000 (multiplicity 3)
W1 0.0000 0.0000 0.5000 (multiplicity 3)

Values from the calculation:
**DFT total energy**: -71.50 eV/cell
**DOS(E_F)**: 0.839 states/eV/atom
**Magnetic moment**: 0.00 μB/cell

=====

(5)
Entry from Alexandria: a geometry-optimized NbMoI2Cl structure (PBE-GGA).

a = 5.390 Å, b = 5.390 Å, c = 5.032 Å
α = 90.00°, β = 90.00°, γ = 90.00°
Space group P4/mmm (No. 123)
Symmetry-distinct sites (fractional):
Nb1 0.000 0.000 0.000 (multiplicity 1)
Mo1 0.000 0.000 0.500 (multiplicity 1)
I1 0.000 0.500 0.500 (multiplicity 2)
Cl1 0.500 0.500 0.000 (multiplicity 1)

Values from the calculation:
**DFT total energy**: -22.14 eV/cell
**DOS(E_F)**: 1.337 states/eV/atom
**Magnetic moment**: 1.29 μB/cell

=====

(6)
Entry from Alexandria: a geometry-optimized Cs2PrCu2Te4 structure (PBE-GGA).

a = 16.580 Å, b = 4.444 Å, c = 9.083 Å
α = 90.00°, β = 108.01°, γ = 90.00°
Space group C2/m (No. 12)
Symmetry-distinct sites (fractional):
Cs1 0.136 0.000 0.056 (multiplicity 4)
Pr1 0.000 0.000 0.500 (multiplicity 2)
Cu1 0.172 0.500 0.481 (multiplicity 4)
Te1 0.022 0.500 0.265 (multiplicity 4)
Te2 0.203 0.000 0.653 (multiplicity 4)

Values from the calculation:
**DFT total energy**: -69.70 eV/cell
**DOS(E_F)**: 0.673 states/eV/atom
**Magnetic moment**: 0.00 μB/cell

=====

(7)
Entry from Alexandria: a geometry-optimized MoPbCl2 structure (PBE-GGA).

a = 10.903 Å, b = 3.163 Å, c = 6.746 Å
α = 90.00°, β = 115.10°, γ = 90.00°
Space group Cm (No. 8)
Symmetry-distinct sites (fractional):
Mo1 0.000 0.000 0.000 (multiplicity 2)
Pb1 0.223 0.500 0.999 (multiplicity 2)
Cl1 0.041 0.500 0.302 (multiplicity 2)
Cl2 0.382 0.000 0.699 (multiplicity 2)

Values from the calculation:
**DFT total energy**: -38.06 eV/cell
**DOS(E_F)**: 0.975 states/eV/atom
**Magnetic moment**: 1.14 μB/cell

=====

(8)
Entry from Alexandria: a geometry-optimized SnIrBrF2 structure (PBE-GGA).

a = 4.380 Å, b = 4.380 Å, c = 4.863 Å
α = 90.00°, β = 90.00°, γ = 90.00°
Space group P4/mmm (No. 123)
Symmetry-distinct sites (fractional):
Sn1 0.000 0.000 0.000 (multiplicity 1)
Ir1 0.500 0.500 0.000 (multiplicity 1)
Br1 0.500 0.500 0.500 (multiplicity 1)
F1 0.000 0.500 0.500 (multiplicity 2)

Values from the calculation:
**DFT total energy**: -18.36 eV/cell
**DOS(E_F)**: 0.509 states/eV/atom
**Magnetic moment**: 0.00 μB/cell

=====

(9)
Entry from Alexandria: a geometry-optimized RbHCl2 structure (PBE-GGA).

a = 6.568 Å, b = 6.568 Å, c = 8.430 Å
α = 90.00°, β = 90.00°, γ = 90.00°
Space group I-42d (No. 122)
Symmetry-distinct sites (fractional):
Rb1 0.000 0.000 0.000 (multiplicity 4)
H1 0.000 0.000 0.500 (multiplicity 4)
Cl1 0.093 0.250 0.625 (multiplicity 8)

Values from the calculation:
**DFT total energy**: -44.75 eV/cell
**DOS(E_F)**: 0.000 states/eV/atom
**Magnetic moment**: 0.00 μB/cell

=====

(10)
Entry from Alexandria: a geometry-optimized BaPtN2F structure (PBE-GGA).

a = 3.857 Å, b = 3.857 Å, c = 5.626 Å
α = 90.00°, β = 90.00°, γ = 90.00°
Space group P4/mmm (No. 123)
Symmetry-distinct sites (fractional):
Ba1 0.000 0.000 0.000 (multiplicity 1)
Pt1 0.500 0.500 0.500 (multiplicity 1)
N1 0.000 0.500 0.500 (multiplicity 2)
F1 0.500 0.500 0.000 (multiplicity 1)

Values from the calculation:
**DFT total energy**: -29.06 eV/cell
**DOS(E_F)**: 0.548 states/eV/atom
**Magnetic moment**: 0.00 μB/cell

=====

(11)
Entry from Alexandria: a geometry-optimized Tb2ThBi2Te2 structure (PBE-GGA).

a = 6.126 Å, b = 6.126 Å, c = 15.185 Å
α = 90.00°, β = 90.00°, γ = 90.00°
Space group I4/mmm (No. 139)
Symmetry-distinct sites (fractional):
Tb1 0.000 0.000 0.112 (multiplicity 4)
Th1 0.000 0.000 0.500 (multiplicity 2)
Bi1 0.000 0.500 0.000 (multiplicity 4)
Te1 0.000 0.000 0.298 (multiplicity 4)

Values from the calculation:
**DFT total energy**: -68.23 eV/cell
**DOS(E_F)**: 0.135 states/eV/atom
**Magnetic moment**: 0.00 μB/cell

=====

(12)
Entry from Alexandria: a geometry-optimized VFe2Co3 structure (PBE-GGA).

a = 4.034 Å, b = 12.138 Å, c = 5.743 Å
α = 90.00°, β = 90.00°, γ = 90.00°
Space group Cmmm (No. 65)
Symmetry-distinct sites (fractional):
V1 0.000 0.167 0.000 (multiplicity 4)
Fe1 0.000 0.168 0.500 (multiplicity 4)
Fe2 0.000 0.500 0.000 (multiplicity 2)
Fe3 0.000 0.500 0.500 (multiplicity 2)
Co1 0.000 0.000 0.253 (multiplicity 4)
Co2 0.000 0.334 0.253 (multiplicity 8)

Values from the calculation:
**DFT total energy**: -190.23 eV/cell
**DOS(E_F)**: 0.962 states/eV/atom
**Magnetic moment**: 43.27 μB/cell

=====

(13)
Entry from Alexandria: a geometry-optimized Cs2NbCCl6 structure (PBE-GGA).

a = 7.372 Å, b = 7.372 Å, c = 11.407 Å
α = 90.00°, β = 90.00°, γ = 90.00°
Space group I4/mmm (No. 139)
Symmetry-distinct sites (fractional):
Cs1 0.000 0.500 0.250 (multiplicity 4)
Nb1 0.000 0.000 0.000 (multiplicity 2)
C1 0.000 0.000 0.500 (multiplicity 2)
Cl1 0.000 0.000 0.215 (multiplicity 4)
Cl2 0.235 0.235 0.000 (multiplicity 8)

Values from the calculation:
**DFT total energy**: -78.66 eV/cell
**DOS(E_F)**: 0.983 states/eV/atom
**Magnetic moment**: 6.00 μB/cell